1.
Material: MgAg2O4
Method: DFT, PBE
State: optimized geometry

Cell lengths 5.535, 5.535, 9.859 Å; angles 90.00, 90.00, 147.52 degrees
Sites, in units of the cell vectors:
Mg 0.109 0.891 0.750
Mg 0.891 0.109 0.250
Ag 0.369 0.631 0.573
Ag 0.369 0.631 0.927
Ag 0.631 0.369 0.073
Ag 0.631 0.369 0.427
O 0.000 0.000 0.000
O 0.000 0.000 0.500
O 0.290 0.710 0.122
O 0.290 0.710 0.378
O 0.474 0.526 0.750
O 0.526 0.474 0.250
O 0.710 0.290 0.622
O 0.710 0.290 0.878

Output
Polymorph energy (0 for the lowest one) in kJ/mol of atoms: 8.8
Space group: Cmcm, No. 63

***

2.
Material: MgAgOs2O8
Method: DFT, PBE
State: optimized geometry

Cell lengths 5.838, 5.838, 6.451 Å; angles 90.00, 90.00, 120.00 degrees
Sites, in units of the cell vectors:
Mg 0.000 0.000 0.000
Ag 0.000 0.000 0.500
Os 0.333 0.667 0.276
Os 0.667 0.333 0.724
O 0.163 0.326 0.199
O 0.163 0.837 0.199
O 0.326 0.163 0.801
O 0.333 0.667 0.549
O 0.667 0.333 0.451
O 0.674 0.837 0.199
O 0.837 0.163 0.801
O 0.837 0.674 0.801

Output
Space group: P-3m1, No. 164

***

| no. | raw formation energy (eV/atom) | final energy (Ry per atom) |
| --- | --- | --- |
| 1 | -0.6046 | -0.32930 |
| 2 | -1.0215 | -0.48282 |